1.
Crystalline LaMgAgGe2 at its relaxed geometry, computed with PBE.

The structure in CIF format:
```
data_LaMgAgGe2
_chemical_formula_sum 'La2 Mg2 Ag2 Ge4'
_symmetry_space_group_name_H-M 'I -4 m 2'
_symmetry_Int_Tables_number 119
_symmetry_space_group_name_Hall 'I -4 -2'
_cell_length_a 4.328
_cell_length_b 4.328
_cell_length_c 11.675
_cell_angle_alpha 90.00
_cell_angle_beta 90.00
_cell_angle_gamma 90.00
loop_
_atom_site_label
_atom_site_type_symbol
_atom_site_fract_x
_atom_site_fract_y
_atom_site_fract_z
La1 La 0.000 0.000 0.000
Mg1 Mg 0.000 0.500 0.250
Ag1 Ag 0.000 0.500 0.750
Ge1 Ge 0.000 0.000 0.392
```

Summary:
- E_tot: -4.25 eV per atom
- ΔE_f: -0.529 eV/atom


2.
Crystalline La4AgGeN at its relaxed geometry, computed with PBE.

The structure in CIF format:
```
data_La4AgGeN
_chemical_formula_sum 'La16 Ag4 Ge4 N4'
_symmetry_space_group_name_H-M 'C m c m'
_symmetry_Int_Tables_number 63
_symmetry_space_group_name_Hall '-C 2c 2'
_cell_length_a 7.186
_cell_length_b 15.204
_cell_length_c 7.184
_cell_angle_alpha 90.00
_cell_angle_beta 90.00
_cell_angle_gamma 90.00
loop_
_atom_site_label
_atom_site_type_symbol
_atom_site_fract_x
_atom_site_fract_y
_atom_site_fract_z
La1 La 0.000 0.076 0.250
La2 La 0.000 0.423 0.250
La3 La 0.250 0.250 0.000
Ag1 Ag 0.000 0.384 0.750
Ge1 Ge 0.000 0.125 0.750
N1 N 0.000 0.246 0.250
```

Summary:
- ΔE_f (raw): -0.70 eV per atom
- E_tot: -5.77 eV per atom


3.
Crystalline LaAgGe2N at its relaxed geometry, computed with PBE.

The structure in CIF format:
```
data_LaAgGe2N
_chemical_formula_sum 'La1 Ag1 Ge2 N1'
_symmetry_space_group_name_H-M 'P 4/m m m'
_symmetry_Int_Tables_number 123
_symmetry_space_group_name_Hall '-P 4 2'
_cell_length_a 4.632
_cell_length_b 4.632
_cell_length_c 6.209
_cell_angle_alpha 90.00
_cell_angle_beta 90.00
_cell_angle_gamma 90.00
loop_
_atom_site_label
_atom_site_type_symbol
_atom_site_fract_x
_atom_site_fract_y
_atom_site_fract_z
La1 La 0.000 0.000 0.000
Ag1 Ag 0.000 0.000 0.500
Ge1 Ge 0.000 0.500 0.500
N1 N 0.500 0.500 0.000
```

Summary:
- ΔE_f (raw): 1.04 eV per atom
- E_tot: -4.02 eV per atom


4.
Crystalline NaLaAgGe at its relaxed geometry, computed with PBE.

The structure in CIF format:
```
data_NaLaAgGe
_chemical_formula_sum 'Na4 La4 Ag4 Ge4'
_symmetry_space_group_name_H-M 'F -4 3 m'
_symmetry_Int_Tables_number 216
_symmetry_space_group_name_Hall 'F -4 2 3'
_cell_length_a 7.333
_cell_length_b 7.333
_cell_length_c 7.333
_cell_angle_alpha 90.00
_cell_angle_beta 90.00
_cell_angle_gamma 90.00
loop_
_atom_site_label
_atom_site_type_symbol
_atom_site_fract_x
_atom_site_fract_y
_atom_site_fract_z
Na1 Na 0.000 0.000 0.000
La1 La 0.000 0.000 0.500
Ag1 Ag 0.250 0.250 0.250
Ge1 Ge 0.250 0.250 0.750
```

Summary:
- E_tot: -3.75 eV per atom
- ΔE_f: -0.326 eV/atom


5.
Crystalline LaNd2Ag2Ge2 at its relaxed geometry, computed with PBE.

The structure in CIF format:
```
data_LaNd2Ag2Ge2
_chemical_formula_sum 'La3 Nd6 Ag6 Ge6'
_symmetry_space_group_name_H-M 'R -3 m'
_symmetry_Int_Tables_number 166
_symmetry_space_group_name_Hall '-R 3 2"'
_cell_length_a 4.6282
_cell_length_b 4.6282
_cell_length_c 28.6533
_cell_angle_alpha 90.00
_cell_angle_beta 90.00
_cell_angle_gamma 120.00
loop_
_atom_site_label
_atom_site_type_symbol
_atom_site_fract_x
_atom_site_fract_y
_atom_site_fract_z
La1 La 0.0000 0.0000 0.0000
Nd1 Nd 0.0000 0.0000 0.1284
Ag1 Ag 0.0000 0.0000 0.4030
Ge1 Ge 0.0000 0.0000 0.2602
```

Summary:
- E_tot: -4.65 eV per atom
- ΔE_f: -0.453 eV/atom


6.
Crystalline La2NdAg2Ge2 at its relaxed geometry, computed with PBE.

The structure in CIF format:
```
data_La2NdAg2Ge2
_chemical_formula_sum 'La6 Nd3 Ag6 Ge6'
_symmetry_space_group_name_H-M 'R -3 m'
_symmetry_Int_Tables_number 166
_symmetry_space_group_name_Hall '-R 3 2"'
_cell_length_a 4.6071
_cell_length_b 4.6071
_cell_length_c 28.5823
_cell_angle_alpha 90.00
_cell_angle_beta 90.00
_cell_angle_gamma 120.00
loop_
_atom_site_label
_atom_site_type_symbol
_atom_site_fract_x
_atom_site_fract_y
_atom_site_fract_z
La1 La 0.0000 0.0000 0.1306
Nd1 Nd 0.0000 0.0000 0.0000
Ag1 Ag 0.0000 0.0000 0.3994
Ge1 Ge 0.0000 0.0000 0.2627
```

Summary:
- E_tot: -4.68 eV per atom
- ΔE_f: -0.459 eV/atom


7.
Crystalline La2NiAgGe at its relaxed geometry, computed with PBE.

The structure in CIF format:
```
data_La2NiAgGe
_chemical_formula_sum 'La2 Ni1 Ag1 Ge1'
_symmetry_space_group_name_H-M 'P 4/m m m'
_symmetry_Int_Tables_number 123
_symmetry_space_group_name_Hall '-P 4 2'
_cell_length_a 5.489
_cell_length_b 5.489
_cell_length_c 4.417
_cell_angle_alpha 90.00
_cell_angle_beta 90.00
_cell_angle_gamma 90.00
loop_
_atom_site_label
_atom_site_type_symbol
_atom_site_fract_x
_atom_site_fract_y
_atom_site_fract_z
La1 La 0.000 0.500 0.000
Ni1 Ni 0.000 0.000 0.000
Ag1 Ag 0.500 0.500 0.500
Ge1 Ge 0.000 0.000 0.500
```

Summary:
- E_tot: -4.95 eV per atom
- ΔE_f: -0.333 eV/atom


8.
Crystalline La2Ni3AgGe4 at its relaxed geometry, computed with PBE.

The structure in CIF format:
```
data_La2Ni3AgGe4
_chemical_formula_sum 'La2 Ni3 Ag1 Ge4'
_symmetry_space_group_name_H-M 'P -4 m 2'
_symmetry_Int_Tables_number 115
_symmetry_space_group_name_Hall 'P -4 -2'
_cell_length_a 4.282
_cell_length_b 4.282
_cell_length_c 9.978
_cell_angle_alpha 90.00
_cell_angle_beta 90.00
_cell_angle_gamma 90.00
loop_
_atom_site_label
_atom_site_type_symbol
_atom_site_fract_x
_atom_site_fract_y
_atom_site_fract_z
La1 La 0.000 0.500 0.243
Ni1 Ni 0.000 0.500 0.885
Ni2 Ni 0.500 0.500 0.500
Ag1 Ag 0.000 0.000 0.500
Ge1 Ge 0.000 0.000 0.000
Ge2 Ge 0.000 0.500 0.645
Ge3 Ge 0.500 0.500 0.000
```

Summary:
- E_tot: -5.48 eV per atom
- ΔE_f: -0.624 eV/atom